First-principles (GGA+U) data for a relaxed structure of VSnPbF6, as listed in the Alexandria database.

a = 6.2059 Å, b = 6.2059 Å, c = 8.9254 Å
α = 90.00°, β = 90.00°, γ = 120.00°
Each line ends with the local moment (μB).
Positions (direct):
V1 0.6667 0.3333 0.2500  2.75
V2 0.3333 0.6667 0.7500  2.75
Sn1 0.0000 0.0000 0.0000  0.01
Sn2 0.0000 0.0000 0.5000  0.01
Pb1 0.3333 0.6667 0.2500  0.00
Pb2 0.6667 0.3333 0.7500  0.00
F1 0.6769 0.6345 0.1279  0.00
F2 0.9576 0.3231 0.1279  0.00
F3 0.3231 0.9576 0.6279  0.00
F4 0.0424 0.6769 0.8721  0.00
F5 0.3655 0.3231 0.3721  0.00
F6 0.9576 0.6345 0.3721  0.00
F7 0.6345 0.9576 0.8721  0.00
F8 0.6769 0.0424 0.3721  0.00
F9 0.0424 0.3655 0.6279  0.00
F10 0.3655 0.0424 0.1279  0.00
F11 0.6345 0.6769 0.6279  0.00
F12 0.3231 0.3655 0.8721  0.00

As for the total energy: -5.31 eV/atom.